The following is a DFT calculation (GGA-PBE) of a relaxed structure of SrZnCd2Rh2.

As for the final energy: -3.43 eV/atom. As for the calculated volume: 135.4 Å³ per cell. For the density of states at the Fermi level, the calculation gives 1.1 states/eV/f.u. The energy of formation from the pure elements is -1.1 eV/f.u.

It has space group P4/mmm (No. 123), with a = 4.7565 Å, b = 4.7565 Å, c = 5.9828 Å, α = 90.00°, β = 90.00° and γ = 90.00°. The distinct sites, in fractional coordinates, are Sr at (0.0000, 0.0000, 0.0000), Zn at (0.0000, 0.0000, 0.5000), Cd at (0.5000, 0.5000, 0.2448) and Rh at (0.0000, 0.5000, 0.5000).